1.
This record from Alexandria via LeMat-Bulk describes crystalline CuAg2Pt at its relaxed geometry. The functional is PBE.

Computed properties:
Its total magnetization is 0.0 μB per formula unit. The calculation puts the relative energy among the computed polymorphs at 77 meV/atom. Its energy relative to the elements is 0.06 eV/atom.

POSCAR file:
```
CuAg2Pt
1.0
2.811 0.000 0.000
1.405 2.434 0.000
1.405 0.811 9.289
Pt Cu Ag
1 1 2
direct
0.500 0.500 0.500 Pt
0.667 0.667 0.000 Cu
0.254 0.254 0.238 Ag
0.079 0.079 0.762 Ag
```

***

2.
This record from Alexandria via LeMat-Bulk describes crystalline CsK2Rb2 at its relaxed geometry. The functional is PBE.

Computed properties:
Its total magnetization is 0.0 μB per formula unit. The calculation puts the relative energy among the computed polymorphs at 5 meV/atom. Its energy relative to the elements is 0.02 eV/atom.

POSCAR file:
```
CsK2Rb2
1.0
-4.442 6.291 -10.900
-12.243 0.515 5.287
1.094 4.416 2.103
K Cs Rb
4 2 4
direct
0.668 0.832 0.500 K
0.168 0.668 0.500 K
0.332 0.168 0.500 K
0.832 0.332 0.500 K
0.500 0.500 0.000 Cs
0.000 0.000 0.000 Cs
0.129 0.371 0.000 Rb
0.871 0.629 0.000 Rb
0.629 0.129 0.000 Rb
0.371 0.871 0.000 Rb
```

***

3.
This record from Alexandria via LeMat-Bulk describes crystalline TaCrAg2 at its relaxed geometry. The functional is PBE.

Computed properties:
Its total magnetization is 2.5 μB per formula unit. The calculation puts the relative energy among the computed polymorphs at 172 meV/atom. Its energy relative to the elements is 0.48 eV/atom.

POSCAR file:
```
TaCrAg2
1.0
4.920 -0.057 0.103
4.100 2.720 0.103
0.908 0.268 5.026
Cr Ag Ta
1 2 1
direct
0.503 0.503 0.480 Cr
0.756 0.756 0.756 Ag
0.000 0.000 0.991 Ag
0.241 0.241 0.273 Ta
```

***

4.
This record from Alexandria via LeMat-Bulk describes crystalline Sr2CdIr at its relaxed geometry. The functional is PBE.

Computed properties:
Its total magnetization is 0.4 μB per formula unit. Its energy relative to the elements is 0.04 eV/atom.

POSCAR file:
```
Sr2CdIr
1.0
3.738 0.010 0.000
-0.010 3.738 0.000
0.000 0.000 8.796
Ir Sr Cd
1 2 1
direct
0.500 0.500 0.690 Ir
0.500 0.500 0.333 Sr
0.000 0.000 0.912 Sr
0.000 0.000 0.565 Cd
```